(1)
# CdCo2Mo

Crystalline CdCo2Mo at its relaxed geometry (PBE-GGA, Alexandria).

Properties
magnetization = 3.695 μB/cell
E = -0.225 Ha/atom

Lattice parameters (Å, degrees): 2.708 4.490 9.369 90.00 90.00 90.00
Space group Imm2 (No. 44)
One atom of each set of equivalent atoms:
Cd 0.000 0.000 0.000 [2 per cell]
Co 0.000 0.000 0.475 [2 per cell]
Co 0.000 0.500 0.767 [2 per cell]
Mo 0.000 0.500 0.211 [2 per cell]

***

(2)
# CdCoMo2

Crystalline CdCoMo2 at its relaxed geometry (PBE-GGA, Alexandria).

Properties
magnetization = 0.950 μB/cell
E = -0.263 Ha/atom

Lattice parameters (Å, degrees): 2.749 2.749 8.150 90.00 90.00 90.00
Space group P4/mmm (No. 123)
One atom of each set of equivalent atoms:
Cd 0.000 0.000 0.000 [1 per cell]
Co 0.000 0.000 0.500 [1 per cell]
Mo 0.500 0.500 0.286 [2 per cell]

***

(3)
# CdCoMo2

Crystalline CdCoMo2 at its relaxed geometry (PBE-GGA, Alexandria).

Properties
magnetization = 4.001 μB/cell
E = -0.259 Ha/atom

Lattice parameters (Å, degrees): 2.7905 2.7905 28.0811 90.00 90.00 120.00
Space group R3m (No. 160, hexagonal axes)
One atom of each set of equivalent atoms:
Cd 0.0000 0.0000 0.0000 [3 per cell]
Co 0.0000 0.0000 0.7494 [3 per cell]
Mo 0.0000 0.0000 0.2404 [3 per cell]
Mo 0.0000 0.0000 0.4876 [3 per cell]

***

(4)
# NbCdCo2Mo

Crystalline NbCdCo2Mo at its relaxed geometry (PBE-GGA, Alexandria).

Properties
magnetization = 2.944 μB/cell
E = -0.193 Ha/atom

Lattice parameters (Å, degrees): 4.480 4.480 4.947 90.00 90.00 90.00
Space group P4/mmm (No. 123)
One atom of each set of equivalent atoms:
Nb 0.000 0.000 0.000 [1 per cell]
Cd 0.500 0.500 0.500 [1 per cell]
Co 0.000 0.500 0.500 [2 per cell]
Mo 0.500 0.500 0.000 [1 per cell]

***

Copy entry 1 word for word.
# CdCo2Mo

Crystalline CdCo2Mo at its relaxed geometry (PBE-GGA, Alexandria).

Properties
magnetization = 3.695 μB/cell
E = -0.225 Ha/atom

Lattice parameters (Å, degrees): 2.708 4.490 9.369 90.00 90.00 90.00
Space group Imm2 (No. 44)
One atom of each set of equivalent atoms:
Cd 0.000 0.000 0.000 [2 per cell]
Co 0.000 0.000 0.475 [2 per cell]
Co 0.000 0.500 0.767 [2 per cell]
Mo 0.000 0.500 0.211 [2 per cell]

***

- magnetization of number 1 (CdCo2Mo)?
  3.695 μB/cell

***

Please write out number 2 again, unchanged.
# CdCoMo2

Crystalline CdCoMo2 at its relaxed geometry (PBE-GGA, Alexandria).

Properties
magnetization = 0.950 μB/cell
E = -0.263 Ha/atom

Lattice parameters (Å, degrees): 2.749 2.749 8.150 90.00 90.00 90.00
Space group P4/mmm (No. 123)
One atom of each set of equivalent atoms:
Cd 0.000 0.000 0.000 [1 per cell]
Co 0.000 0.000 0.500 [1 per cell]
Mo 0.500 0.500 0.286 [2 per cell]

***

- The highest E belongs to which entry?
  NbCdCo2Mo